Record 1
! PBE CePmTeIr, relaxed; values from VASP
&SYSTEM
  ibrav = 0, nat = 4, ntyp = 4
/
ATOMIC_SPECIES
Ce 140.12 Ce.upf
Pm 145.00 Pm.upf
Te 127.60 Te.upf
Ir 192.22 Ir.upf
CELL_PARAMETERS angstrom
2.076 1.199 7.588
-2.076 1.199 7.588
0.000 -2.397 7.588
ATOMIC_POSITIONS angstrom
Ce 0.000 0.000 0.000
Pm 0.000 0.000 4.457
Te 0.000 0.000 9.807
Ir 0.000 0.000 13.721
! volume	28.32	Å³/atom
! magnetization	0.090	μB/atom
! SG	R3m
! E_tot	-6.698	eV per atom

Record 2
! PBE CePmTlIr, relaxed; values from VASP
&SYSTEM
  ibrav = 0, nat = 4, ntyp = 4
/
ATOMIC_SPECIES
Ce 140.12 Ce.upf
Pm 145.00 Pm.upf
Tl 204.38 Tl.upf
Ir 192.22 Ir.upf
CELL_PARAMETERS angstrom
0.000 3.692 3.692
3.692 0.000 3.692
3.692 3.692 0.000
ATOMIC_POSITIONS angstrom
Ce 0.000 0.000 0.000
Pm 3.692 3.692 3.692
Tl 5.538 5.538 5.538
Ir 1.846 1.846 1.846
! volume	25.17	Å³/atom
! formation energy from the elements	-0.322	eV per atom
! magnetization	0.176	μB/atom
! SG	F-43m

Record 3
! PBE Ce2PmTlIr, relaxed; values from VASP
&SYSTEM
  ibrav = 0, nat = 5, ntyp = 4
/
ATOMIC_SPECIES
Ce 140.12 Ce.upf
Pm 145.00 Pm.upf
Tl 204.38 Tl.upf
Ir 192.22 Ir.upf
CELL_PARAMETERS angstrom
5.342 0.000 0.000
0.000 5.342 0.000
0.000 0.000 5.730
ATOMIC_POSITIONS angstrom
Ce 0.000 2.671 0.000
Ce 2.671 0.000 0.000
Pm 0.000 0.000 2.865
Tl 2.671 2.671 2.871
Ir 0.000 0.000 0.000
! volume	32.70	Å³/atom
! formation energy from the elements	-0.292	eV per atom
! magnetization	0.367	μB/atom
! SG	P4mm